# CsNdMnO3, relaxed, DFT PBE with a Hubbard U
data_CsNdMnO3
_chemical_formula_sum 'Cs2 Nd2 Mn2 O6'
_symmetry_space_group_name_H-M 'P 1 21/m 1'
_symmetry_Int_Tables_number 11
_cell_length_a 8.3684
_cell_length_b 3.7669
_cell_length_c 8.7862
_cell_angle_alpha 90.00
_cell_angle_beta 106.66
_cell_angle_gamma 90.00
loop_
_symmetry_equiv_pos_as_xyz
'x,y,z'
'-x,-y,-z'
'-x,y+1/2,-z'
'x,-y+1/2,z'
loop_
_atom_site_label
_atom_site_type_symbol
_atom_site_fract_x
_atom_site_fract_y
_atom_site_fract_z
Cs1 Cs 0.2018 0.2500 0.2122
Nd1 Nd 0.3460 0.7500 0.8572
Mn1 Mn 0.0797 0.2500 0.6188
O1 O 0.1553 0.7500 0.5589
O2 O 0.1612 0.2500 0.8578
O3 O 0.4670 0.7500 0.1284
# Magnetization (μB per cell): 10.00
# Total energy (eV/atom): -6.812
# Crystal system: monoclinic